Version i
Na2NbZnIn: relaxed, PBE.

a = 4.899 Å, b = 5.168 Å, c = 4.899 Å
α = 90.00°, β = 90.00°, γ = 90.00°
Element x y z (fractional)
Na1 0.000 0.000 0.500
Na2 0.500 0.000 0.000
Nb1 0.000 0.500 0.000
Zn1 0.000 0.000 0.000
In1 0.500 0.500 0.500

Summary:
DOS(E_F)   0.620 states/eV per atom

---

Version ii
Na2NbZnIn: relaxed, PBE.

a = 5.966 Å, b = 5.596 Å, c = 5.966 Å
α = 90.00°, β = 90.00°, γ = 90.00°
Site moments in Bohr magnetons follow the coordinates.
Element x y z (fractional)
Na1 0.000 0.000 0.500  0.03
Na2 0.500 0.000 0.000  0.05
Nb1 0.000 0.000 0.000  2.90
Zn1 0.500 0.500 0.500  0.03
In1 0.000 0.500 0.000  0.12

Summary:
DOS(E_F)   0.741 states/eV per atom

---

Name the most stable of them. version i.

---

Version i
NaNdIn2: relaxed, PBE.

a = 4.015 Å, b = 5.278 Å, c = 5.278 Å
α = 90.00°, β = 90.00°, γ = 90.00°
Element x y z (fractional)
Na1 0.500 0.500 0.500
Nd1 0.500 0.000 0.000
In1 0.000 0.000 0.500
In2 0.000 0.500 0.000

Summary:
DOS(E_F)   0.494 states/eV per atom

---

Version ii
NaNdIn2: relaxed, PBE.

a = 5.384 Å, b = 5.384 Å, c = 5.384 Å
α = 60.00°, β = 60.00°, γ = 60.00°
Element x y z (fractional)
Na1 0.500 0.500 0.500
Nd1 0.000 0.000 0.000
In1 0.250 0.250 0.250
In2 0.750 0.750 0.750

Summary:
DOS(E_F)   0.386 states/eV per atom

---

Name the most stable of them. version i.

---

Version i
Na3InNi: relaxed, PBE.

a = 5.735 Å, b = 5.735 Å, c = 5.735 Å
α = 90.00°, β = 90.00°, γ = 90.00°
Element x y z (fractional)
Ni1 0.500 0.500 0.500
Na1 0.000 0.500 0.000
Na2 0.000 0.000 0.500
Na3 0.500 0.000 0.000
In1 0.000 0.000 0.000

Summary:
DOS(E_F)   1.431 states/eV per atom

---

Version ii
Na3InNi: relaxed, PBE.

a = 5.298 Å, b = 5.298 Å, c = 5.298 Å
α = 90.00°, β = 90.00°, γ = 90.00°
Element x y z (fractional)
Ni1 0.000 0.000 0.000
Na1 0.000 0.500 0.000
Na2 0.000 0.000 0.500
Na3 0.500 0.000 0.000
In1 0.500 0.500 0.500

Summary:
DOS(E_F)   0.809 states/eV per atom

---

Name the most stable of them. version ii.

---

Version i
Na2In6Ni: relaxed, PBE.

a = 5.752 Å, b = 6.739 Å, c = 6.739 Å
α = 60.02°, β = 90.03°, γ = 90.03°
Element x y z (fractional)
Na1 0.791 0.667 0.667
Na2 0.209 0.333 0.333
In1 0.287 0.346 0.827
In2 0.287 0.827 0.827
In3 0.287 0.827 0.346
In4 0.713 0.654 0.173
In5 0.713 0.173 0.173
In6 0.713 0.173 0.654
Ni1 0.000 0.000 0.000

Summary:
DOS(E_F)   0.497 states/eV per atom

---

Version ii
Na2In6Ni: relaxed, PBE.

a = 3.973 Å, b = 8.250 Å, c = 8.250 Å
α = 120.00°, β = 90.00°, γ = 90.00°
Element x y z (fractional)
Na1 0.000 0.333 0.667
Na2 0.000 0.667 0.333
In1 0.000 0.764 0.000
In2 0.000 0.000 0.764
In3 0.000 0.236 0.236
In4 0.500 0.657 0.657
In5 0.500 0.000 0.343
In6 0.500 0.343 0.000
Ni1 0.500 0.000 0.000

Summary:
DOS(E_F)   0.654 states/eV per atom

---

Name the most stable of them. version i.

---

Version i
NaIn4Ni: relaxed, PBE.

a = 5.156 Å, b = 7.302 Å, c = 9.011 Å
α = 113.90°, β = 106.57°, γ = 90.00°
Element x y z (fractional)
Na1 0.200 0.200 0.401
Na2 0.800 0.800 0.599
In1 0.838 0.337 0.674
In2 0.613 0.369 0.226
In3 0.000 0.192 0.000
In4 0.387 0.142 0.774
In5 0.162 0.663 0.326
In6 0.387 0.631 0.774
In7 0.000 0.808 0.000
In8 0.613 0.858 0.226
Ni1 0.743 0.500 0.999
Ni2 0.257 0.500 0.001

Summary:
DOS(E_F)   0.515 states/eV per atom

---

Version ii
NaIn4Ni: relaxed, PBE.

a = 4.402 Å, b = 7.565 Å, c = 8.702 Å
α = 90.00°, β = 104.65°, γ = 90.00°
Element x y z (fractional)
Na1 0.127 0.250 0.253
Na2 0.873 0.750 0.747
In1 0.500 0.500 0.000
In2 0.500 0.000 0.000
In3 0.689 0.952 0.378
In4 0.311 0.048 0.622
In5 0.311 0.452 0.622
In6 0.689 0.548 0.378
In7 0.072 0.750 0.143
In8 0.928 0.250 0.857
Ni1 0.226 0.750 0.452
Ni2 0.774 0.250 0.548

Summary:
DOS(E_F)   0.535 states/eV per atom

---

Name the most stable of them. version ii.

---

Version i
NaIn2Ni2: relaxed, PBE.

a = 4.661 Å, b = 4.661 Å, c = 5.680 Å
α = 65.78°, β = 65.78°, γ = 90.00°
Element x y z (fractional)
Ni1 0.377 0.377 0.246
Ni2 0.623 0.623 0.754
Na1 0.000 0.000 0.000
In1 0.750 0.250 0.500
In2 0.250 0.750 0.500

Summary:
DOS(E_F)   0.605 states/eV per atom

---

Version ii
NaIn2Ni2: relaxed, PBE.

a = 7.624 Å, b = 7.624 Å, c = 3.015 Å
α = 90.00°, β = 90.00°, γ = 90.00°
Element x y z (fractional)
Ni1 0.370 0.870 0.000
Ni2 0.870 0.630 0.000
Ni3 0.630 0.130 0.000
Ni4 0.130 0.370 0.000
Na1 0.000 0.000 0.000
Na2 0.500 0.500 0.000
In1 0.164 0.664 0.500
In2 0.664 0.836 0.500
In3 0.836 0.336 0.500
In4 0.336 0.164 0.500

Summary:
DOS(E_F)   0.577 states/eV per atom

---

Version iii
NaIn2Ni2: relaxed, PBE.

a = 7.824 Å, b = 7.824 Å, c = 2.909 Å
α = 90.00°, β = 90.00°, γ = 90.00°
Element x y z (fractional)
Ni1 0.152 0.652 0.500
Ni2 0.652 0.848 0.500
Ni3 0.848 0.348 0.500
Ni4 0.348 0.152 0.500
Na1 0.000 0.000 0.000
Na2 0.500 0.500 0.000
In1 0.356 0.856 0.000
In2 0.856 0.644 0.000
In3 0.644 0.144 0.000
In4 0.144 0.356 0.000

Summary:
DOS(E_F)   0.665 states/eV per atom

---

Name the most stable of them. version ii.